[1]
Zn3Ir2 | GGA-PBE | relaxed

Properties
Energy above the most stable polymorph in this dataset   0.062 eV per atom

Geometry as CIF:
```
data_Zn3Ir2
_cell_length_a 2.8040
_cell_length_b 2.8040
_cell_length_c 32.1467
_cell_angle_alpha 90.00
_cell_angle_beta 90.00
_cell_angle_gamma 120.00
_symmetry_space_group_name_H-M 'R -3 m'
_symmetry_Int_Tables_number 166
_symmetry_space_group_name_Hall '-R 3 2"'
loop_
_atom_site_label
_atom_site_type_symbol
_atom_site_fract_x
_atom_site_fract_y
_atom_site_fract_z
Zn1 Zn 0.0000 0.0000 0.0000
Zn2 Zn 0.0000 0.0000 0.2024
Ir1 Ir 0.0000 0.0000 0.3988
```

[2]
Zn3Ir | GGA-PBE | relaxed

Geometry as CIF:
```
data_Zn3Ir
_cell_length_a 2.8185
_cell_length_b 2.8185
_cell_length_c 8.5130
_cell_angle_alpha 90.00
_cell_angle_beta 90.00
_cell_angle_gamma 120.00
_symmetry_space_group_name_H-M 'P -6 m 2'
_symmetry_Int_Tables_number 187
_symmetry_space_group_name_Hall 'P -6 2'
loop_
_atom_site_label
_atom_site_type_symbol
_atom_site_fract_x
_atom_site_fract_y
_atom_site_fract_z
Zn1 Zn 0.0000 0.0000 0.0000
Zn2 Zn 0.3333 0.6667 0.2564
Ir1 Ir 0.0000 0.0000 0.5000
```

[3]
ZnIr2 | GGA-PBE | relaxed

Geometry as CIF:
```
data_ZnIr2
_cell_length_a 2.719
_cell_length_b 2.719
_cell_length_c 24.163
_cell_angle_alpha 90.00
_cell_angle_beta 90.00
_cell_angle_gamma 90.00
_symmetry_space_group_name_H-M 'I 41/a m d'
_symmetry_Int_Tables_number 141
loop_
_symmetry_equiv_pos_as_xyz
'x,y,z'
'-x,-y,-z'
'-y+1/4,x+3/4,z+1/4'
'y+1/4,-x+3/4,-z+1/4'
'-x+1/2,-y,z+1/2'
'x+1/2,y,-z+1/2'
'y+1/4,-x+1/4,z+3/4'
'-y+1/4,x+1/4,-z+3/4'
'x,-y,-z'
'-x,y,z'
'-y+1/4,-x+1/4,-z+3/4'
'y+1/4,x+1/4,z+3/4'
'-x+1/2,y,-z+1/2'
'x+1/2,-y,z+1/2'
'y+1/4,x+3/4,-z+1/4'
'-y+1/4,-x+3/4,z+1/4'
'x+1/2,y+1/2,z+1/2'
'-x+1/2,-y+1/2,-z+1/2'
'-y+3/4,x+1/4,z+3/4'
'y+3/4,-x+1/4,-z+3/4'
'-x,-y+1/2,z'
'x,y+1/2,-z'
'y+3/4,-x+3/4,z+1/4'
'-y+3/4,x+3/4,-z+1/4'
'x+1/2,-y+1/2,-z+1/2'
'-x+1/2,y+1/2,z+1/2'
'-y+3/4,-x+3/4,-z+1/4'
'y+3/4,x+3/4,z+1/4'
'-x,y+1/2,-z'
'x,-y+1/2,z'
'y+3/4,x+1/4,-z+3/4'
'-y+3/4,-x+1/4,z+3/4'
loop_
_atom_site_label
_atom_site_type_symbol
_atom_site_fract_x
_atom_site_fract_y
_atom_site_fract_z
Zn1 Zn 0.000 0.250 0.375
Ir1 Ir 0.000 0.250 0.795
```

[4]
Zn3Ir2 | GGA-PBE | relaxed

Properties
Energy above the most stable polymorph in this dataset   0.081 eV per atom

Geometry as CIF:
```
data_Zn3Ir2
_cell_length_a 8.887
_cell_length_b 12.902
_cell_length_c 4.981
_cell_angle_alpha 90.00
_cell_angle_beta 90.00
_cell_angle_gamma 90.00
_symmetry_space_group_name_H-M 'F d d 2'
_symmetry_Int_Tables_number 43
_symmetry_space_group_name_Hall 'F 2 -2d'
loop_
_atom_site_label
_atom_site_type_symbol
_atom_site_fract_x
_atom_site_fract_y
_atom_site_fract_z
Zn1 Zn 0.000 0.000 0.000
Zn2 Zn 0.046 0.397 0.033
Ir1 Ir 0.030 0.300 0.566
```

Number 1: formation enthalpy at 0 K -0.078 eV/atom. Number 2: formation enthalpy at 0 K -0.081 eV/atom. Number 3: formation enthalpy at 0 K 0.167 eV/atom. Number 4: formation enthalpy at 0 K -0.059 eV/atom.